No. 1
Density functional theory data (PBE) for a relaxed RbBaZn2 crystal.

```
RbBaZn2
1.0
-9.2444 -0.5513 0.2712
0.2311 -6.9096 -6.1676
-4.2621 -6.3711 0.0193
Zn Ba Rb
4 2 2
Cartesian
-6.9111 -2.8068 -0.5938
-1.9799 -5.9745 -3.8189
-6.5790 -7.5039 -2.1321
-11.0808 -11.3790 -5.2095
0.0000 0.0000 0.0000
-9.0066 -5.3265 -1.3289
-4.5066 -3.7305 -2.9482
-4.2688 -8.5056 -4.5483
```

## Properties
* formation energy from the elements: 100 kJ/mol of formula units
* energy above the lowest structure with this stoichiometry: 162.2 meV/atom
* SG: I-42d (122)


No. 2
Density functional theory data (PBE) for a relaxed RbBaZn crystal.

```
RbBaZn
1.0
4.6238 0.0000 0.0000
0.0000 4.5326 -0.7661
0.0000 0.2515 15.2792
Rb Ba Zn
2 2 2
Cartesian
1.1559 1.5886 9.3988
3.4678 3.1955 5.1143
1.1559 0.3311 1.9588
3.4678 4.4530 12.5543
1.1559 2.4095 14.2554
3.4678 2.3746 0.2577
```

## Properties
* formation energy from the elements: -22 kJ/mol of formula units
* energy above the lowest structure with this stoichiometry: 0.0 meV/atom
* SG: Cmcm (63)


No. 3
Density functional theory data (PBE) for a relaxed RbBa2Zn2 crystal.

```
RbBa2Zn2
1.0
4.3142 0.0000 0.0000
0.0000 4.3142 0.0000
2.1571 2.1571 13.0574
Zn Ba Rb
2 2 1
Cartesian
4.3142 2.1571 6.5287
2.1571 4.3142 6.5287
2.1571 2.1571 3.9528
4.3142 4.3142 9.1045
0.0000 0.0000 0.0000
```

## Properties
* formation energy from the elements: 32 kJ/mol of formula units
* energy above the lowest structure with this stoichiometry: 76.7 meV/atom
* SG: I4/mmm (139)


No. 4
Density functional theory data (PBE) for a relaxed RbBaZn3 crystal.

```
RbBaZn3
1.0
5.9608 0.0000 0.0000
0.0000 5.9608 0.0000
0.0000 0.0000 5.9608
Zn Ba Rb
3 1 1
Cartesian
0.0000 2.9804 0.0000
0.0000 0.0000 2.9804
2.9804 0.0000 0.0000
2.9804 2.9804 2.9804
0.0000 0.0000 0.0000
```

## Properties
* formation energy from the elements: 255 kJ/mol of formula units
* energy above the lowest structure with this stoichiometry: 88.1 meV/atom
* SG: Pm-3m (221)


No. 5
Density functional theory data (PBE) for a relaxed RbBaZn3 crystal.

```
RbBaZn3
1.0
-0.2292 5.9466 2.1411
-4.3540 -1.7016 4.2598
4.5813 -1.3196 4.1555
Zn Ba Rb
3 1 1
Cartesian
-2.1770 -0.8508 2.1299
2.2907 -0.6598 2.0778
-0.1146 2.9733 1.0705
0.0000 0.0000 0.0000
-0.0009 1.4627 5.2782
```

## Properties
* formation energy from the elements: 212 kJ/mol of formula units
* energy above the lowest structure with this stoichiometry: 0.0 meV/atom
* SG: Pm-3m (221)


No. 6
Density functional theory data (PBE) for a relaxed RbBaZn crystal.

```
RbBaZn
1.0
5.7449 -1.0410 0.0842
1.1784 5.7183 0.0842
0.6913 0.4670 9.6825
Rb Ba Zn
2 2 2
Cartesian
5.5960 3.7805 3.3941
2.0186 1.3638 6.4568
5.4265 3.6661 8.4188
2.1881 1.4782 1.4321
4.9902 0.0761 0.0842
1.9331 4.6012 0.0842
```

## Properties
* formation energy from the elements: 12 kJ/mol of formula units
* energy above the lowest structure with this stoichiometry: 117.0 meV/atom
* SG: C2/m (12)